[1]
## Ac5PrPt5 (PBE-GGA)

Data for Ac5PrPt5 after structural relaxation.

Cell: 6.1507 7.5442 8.7511 Å, 106.87 90.00 114.06°
Fractional positions:
Ac (0.6705, 0.3411, 0.8431)
Ac (0.6732, 0.3464, 0.3280)
Ac (0.0000, 0.0000, 0.5000)
Ac (0.3268, 0.6536, 0.6720)
Ac (0.3295, 0.6589, 0.1569)
Pt (0.1642, 0.3284, 0.3322)
Pt (0.8358, 0.6716, 0.6678)
Pt (0.8399, 0.6798, 0.1694)
Pt (0.5000, 0.0000, 0.0000)
Pt (0.1601, 0.3202, 0.8306)
Pr (0.0000, 0.0000, 0.0000)

Summary:
Space-group type: C2/m
Calculated density, g cm⁻³: 10.63
Total magnetization, μB per formula unit: 0.00
Energy of formation from the pure elements, eV/f.u.: -11.760
DOS at the Fermi energy, states/eV per atom: 0.6848

[2]
## Ac5Pr2Pt4 (PBE-GGA)

Data for Ac5Pr2Pt4 after structural relaxation.

Cell: 4.2306 10.6474 9.3999 Å, 119.83 103.00 90.00°
Fractional positions:
Ac (0.1475, 0.3702, 0.2949)
Ac (0.5000, 0.0000, 0.0000)
Ac (0.2514, 0.8374, 0.5028)
Ac (0.8525, 0.6298, 0.7051)
Ac (0.7486, 0.1626, 0.4972)
Pt (0.1083, 0.9263, 0.2166)
Pt (0.6642, 0.5857, 0.3285)
Pt (0.3358, 0.4143, 0.6715)
Pt (0.8917, 0.0737, 0.7834)
Pr (0.4545, 0.3029, 0.9090)
Pr (0.5455, 0.6971, 0.0910)

Summary:
Space-group type: C2/m
Calculated density, g cm⁻³: 10.28
Total magnetization, μB per formula unit: 0.00
Energy of formation from the pure elements, eV/f.u.: -9.460
DOS at the Fermi energy, states/eV per atom: 0.9707

[3]
## Ac8PrPt5 (PBE-GGA)

Data for Ac8PrPt5 after structural relaxation.

Cell: 11.4689 11.4689 10.7293 Å, 77.07 77.07 22.13°
Fractional positions:
Ac (0.8304, 0.8304, 0.4968)
Ac (0.9126, 0.9126, 0.8202)
Ac (0.5723, 0.5723, 0.8385)
Ac (0.7655, 0.7655, 0.1542)
Ac (0.2345, 0.2345, 0.8457)
Ac (0.0875, 0.0875, 0.1798)
Ac (0.1696, 0.1696, 0.5032)
Ac (0.4277, 0.4277, 0.1616)
Pt (0.6609, 0.6609, 0.0190)
Pt (0.0000, 0.0000, 0.0001)
Pt (0.3391, 0.3391, 0.9809)
Pt (0.7025, 0.7025, 0.6673)
Pt (0.2974, 0.2974, 0.3327)
Pr (0.5000, 0.5000, 0.5000)

Summary:
Space-group type: C2/m
Calculated density, g cm⁻³: 9.41
Total magnetization, μB per formula unit: 0.00
Energy of formation from the pure elements, eV/f.u.: -11.296
DOS at the Fermi energy, states/eV per atom: 0.9191

[4]
## AcPrPt3 (PBE-GGA)

Data for AcPrPt3 after structural relaxation.

Cell: 4.3907 4.1223 13.9164 Å, 98.52 90.00 90.00°
Fractional positions:
Ac (0.2500, 0.0735, 0.1470)
Ac (0.7500, 0.9265, 0.8530)
Pt (0.2500, 0.3765, 0.7530)
Pt (0.2500, 0.6853, 0.3705)
Pt (0.7500, 0.6235, 0.2470)
Pt (0.7500, 0.3147, 0.6295)
Pt (0.7500, 0.5277, 0.0554)
Pt (0.2500, 0.4723, 0.9446)
Pr (0.2500, 0.7944, 0.5888)
Pr (0.7500, 0.2056, 0.4112)

Summary:
Space-group type: Cmcm
Calculated density, g cm⁻³: 12.71
Total magnetization, μB per formula unit: 0.00
Energy of formation from the pure elements, eV/f.u.: -5.372
DOS at the Fermi energy, states/eV per atom: 0.6450

[5]
## AcPrPt (PBE-GGA)

Data for AcPrPt after structural relaxation.

Cell: 4.0909 5.1545 8.7943 Å, 90.00 90.00 90.00°
Fractional positions:
Ac (0.8136, 0.8665, 0.5603)
Ac (0.3136, 0.3665, 0.2789)
Pr (0.3136, 0.8665, 0.9674)
Pr (0.8136, 0.3665, 0.8718)
Pt (0.8136, 0.8666, 0.2139)
Pt (0.3136, 0.3664, 0.6253)

Summary:
Space-group type: Pmmn
Calculated density, g cm⁻³: 10.08
Total magnetization, μB per formula unit: 0.00
Energy of formation from the pure elements, eV/f.u.: -2.240
DOS at the Fermi energy, states/eV per atom: 0.8047

[6]
## Ac5Pr2Pt5 (PBE-GGA)

Data for Ac5Pr2Pt5 after structural relaxation.

Cell: 4.2608 7.5033 13.3015 Å, 70.89 80.78 73.51°
Fractional positions:
Ac (0.3463, 0.2571, 0.0504)
Ac (0.2587, 0.1249, 0.3577)
Ac (0.5000, 0.5000, 0.5000)
Ac (0.6537, 0.7429, 0.9496)
Ac (0.7413, 0.8751, 0.6423)
Pt (0.3090, 0.5660, 0.8161)
Pt (0.0000, 0.0000, 0.0000)
Pt (0.6910, 0.4340, 0.1839)
Pt (0.1150, 0.1896, 0.5803)
Pt (0.8850, 0.8104, 0.4197)
Pr (0.0415, 0.7030, 0.2140)
Pr (0.9585, 0.2970, 0.7860)

Summary:
Space-group type: C2/m
Calculated density, g cm⁻³: 10.34
Total magnetization, μB per formula unit: 0.00
Energy of formation from the pure elements, eV/f.u.: -11.830
DOS at the Fermi energy, states/eV per atom: 0.5576